[1]
Entry from Alexandria: SiPRh2 after structural relaxation (PBE-GGA).

```
data_SiPRh2
_chemical_formula_sum 'Si2 P2 Rh4'
_cell_length_a 2.944
_cell_length_b 5.065
_cell_length_c 7.640
_cell_angle_alpha 90.00
_cell_angle_beta 90.00
_cell_angle_gamma 90.00
_symmetry_space_group_name_H-M 'I m m m'
_symmetry_Int_Tables_number 71
_symmetry_space_group_name_Hall '-I 2 2'
loop_
_atom_site_label
_atom_site_type_symbol
_atom_site_fract_x
_atom_site_fract_y
_atom_site_fract_z
Si1 Si 0.000 0.000 0.000
P1 P 0.000 0.000 0.500
Rh1 Rh 0.000 0.500 0.243
```

Computed properties:
E_tot ... -26.319 eV per formula unit
Theoretical density ... 7.7 Mg/m³

[2]
Entry from Alexandria: Al4ZnS7 after structural relaxation (PBE-GGA).

```
data_Al4ZnS7
_chemical_formula_sum 'Al8 Zn2 S14'
_cell_length_a 15.081
_cell_length_b 6.500
_cell_length_c 6.157
_cell_angle_alpha 90.00
_cell_angle_beta 90.00
_cell_angle_gamma 90.00
_symmetry_space_group_name_H-M 'P m n 21'
_symmetry_Int_Tables_number 31
loop_
_symmetry_equiv_pos_as_xyz
'x,y,z'
'-x+1/2,-y,z+1/2'
'-x,y,z'
'x+1/2,-y,z+1/2'
loop_
_atom_site_label
_atom_site_type_symbol
_atom_site_fract_x
_atom_site_fract_y
_atom_site_fract_z
Al1 Al 0.125 0.152 0.000
Al2 Al 0.244 0.675 0.999
Zn1 Zn 0.000 0.246 0.536
S1 S 0.000 0.328 0.895
S2 S 0.124 0.833 0.883
S3 S 0.130 0.173 0.371
S4 S 0.246 0.339 0.875
```

Computed properties:
E_tot ... -56.921 eV per formula unit
Theoretical density ... 2.2 Mg/m³

[3]
Entry from Alexandria: Tb6Ni2Se3S after structural relaxation (PBE-GGA).

```
data_Tb6Ni2Se3S
_chemical_formula_sum 'Tb12 Ni4 Se6 S2'
_cell_length_a 6.868
_cell_length_b 11.938
_cell_length_c 7.230
_cell_angle_alpha 90.00
_cell_angle_beta 108.51
_cell_angle_gamma 90.00
_symmetry_space_group_name_H-M 'C 1 2/m 1'
_symmetry_Int_Tables_number 12
loop_
_symmetry_equiv_pos_as_xyz
'x,y,z'
'-x,-y,-z'
'-x,y,-z'
'x,-y,z'
'x+1/2,y+1/2,z'
'-x+1/2,-y+1/2,-z'
'-x+1/2,y+1/2,-z'
'x+1/2,-y+1/2,z'
loop_
_atom_site_label
_atom_site_type_symbol
_atom_site_fract_x
_atom_site_fract_y
_atom_site_fract_z
Tb1 Tb 0.235 0.000 0.230
Tb2 Tb 0.248 0.329 0.228
Ni1 Ni 0.000 0.167 0.000
Se1 Se 0.000 0.000 0.500
Se2 Se 0.000 0.338 0.500
S1 S 0.000 0.500 0.000
```

Computed properties:
E_tot ... -69.915 eV per formula unit
Theoretical density ... 7.9 Mg/m³

[4]
Entry from Alexandria: PmHo2OsC2 after structural relaxation (PBE-GGA).

```
data_PmHo2OsC2
_chemical_formula_sum 'Pm2 Ho4 Os2 C4'
_cell_length_a 5.637
_cell_length_b 11.032
_cell_length_c 3.764
_cell_angle_alpha 90.00
_cell_angle_beta 90.00
_cell_angle_gamma 90.00
_symmetry_space_group_name_H-M 'P n n m'
_symmetry_Int_Tables_number 58
loop_
_symmetry_equiv_pos_as_xyz
'x,y,z'
'-x,-y,-z'
'-x,-y,z'
'x,y,-z'
'x+1/2,-y+1/2,-z+1/2'
'-x+1/2,y+1/2,z+1/2'
'-x+1/2,y+1/2,-z+1/2'
'x+1/2,-y+1/2,z+1/2'
loop_
_atom_site_label
_atom_site_type_symbol
_atom_site_fract_x
_atom_site_fract_y
_atom_site_fract_z
Pm1 Pm 0.000 0.000 0.000
Ho1 Ho 0.032 0.296 0.500
Os1 Os 0.000 0.500 0.000
C1 C 0.243 0.876 0.500
```

Computed properties:
DFT formation energy ... -0.214 eV per atom
E_tot ... -44.866 eV per formula unit
Theoretical density ... 9.8 Mg/m³

[5]
Entry from Alexandria: Ba12Au5O2 after structural relaxation (PBE-GGA).

```
data_Ba12Au5O2
_chemical_formula_sum 'Ba24 Au10 O4'
_cell_length_a 17.258
_cell_length_b 9.132
_cell_length_c 10.682
_cell_angle_alpha 90.00
_cell_angle_beta 108.09
_cell_angle_gamma 90.00
_symmetry_space_group_name_H-M 'C 1 2/m 1'
_symmetry_Int_Tables_number 12
loop_
_symmetry_equiv_pos_as_xyz
'x,y,z'
'-x,-y,-z'
'-x,y,-z'
'x,-y,z'
'x+1/2,y+1/2,z'
'-x+1/2,-y+1/2,-z'
'-x+1/2,y+1/2,-z'
'x+1/2,-y+1/2,z'
loop_
_atom_site_label
_atom_site_type_symbol
_atom_site_fract_x
_atom_site_fract_y
_atom_site_fract_z
Ba1 Ba 0.002 0.000 0.188
Ba2 Ba 0.003 0.500 0.748
Ba3 Ba 0.149 0.273 0.073
Ba4 Ba 0.154 0.251 0.578
Au1 Au 0.000 0.000 0.500
Au2 Au 0.194 0.500 0.353
Au3 Au 0.204 0.500 0.846
O1 O 0.000 0.181 0.000
```

Computed properties:
E_tot ... -65.769 eV per formula unit
Theoretical density ... 5.5 Mg/m³

[6]
Entry from Alexandria: Y3Rh after structural relaxation (PBE-GGA).

```
data_Y3Rh
_chemical_formula_sum 'Y3 Rh1'
_cell_length_a 4.071
_cell_length_b 4.958
_cell_length_c 5.276
_cell_angle_alpha 90.00
_cell_angle_beta 90.00
_cell_angle_gamma 90.00
_symmetry_space_group_name_H-M 'P m m 2'
_symmetry_Int_Tables_number 25
loop_
_symmetry_equiv_pos_as_xyz
'x,y,z'
'-x,-y,z'
'-x,y,z'
'x,-y,z'
loop_
_atom_site_label
_atom_site_type_symbol
_atom_site_fract_x
_atom_site_fract_y
_atom_site_fract_z
Y1 Y 0.000 0.000 0.000
Y2 Y 0.000 0.500 0.498
Y3 Y 0.500 0.500 0.973
Rh1 Rh 0.500 0.000 0.620
```

Computed properties:
DFT formation energy ... -0.173 eV per atom
E_tot ... -27.435 eV per formula unit
Theoretical density ... 5.8 Mg/m³

[7]
Entry from Alexandria: BaAl2Ir after structural relaxation (PBE-GGA).

```
data_BaAl2Ir
_chemical_formula_sum 'Ba2 Al4 Ir2'
_cell_length_a 4.061
_cell_length_b 6.141
_cell_length_c 8.317
_cell_angle_alpha 90.00
_cell_angle_beta 90.00
_cell_angle_gamma 90.00
_symmetry_space_group_name_H-M 'I m m m'
_symmetry_Int_Tables_number 71
_symmetry_space_group_name_Hall '-I 2 2'
loop_
_atom_site_label
_atom_site_type_symbol
_atom_site_fract_x
_atom_site_fract_y
_atom_site_fract_z
Ba1 Ba 0.000 0.000 0.000
Al1 Al 0.000 0.500 0.169
Ir1 Ir 0.000 0.000 0.500
```

Computed properties:
DFT formation energy ... -0.079 eV per atom
E_tot ... -18.584 eV per formula unit
Theoretical density ... 6.1 Mg/m³

[8]
Entry from Alexandria: Li2Pu2Se3 after structural relaxation (PBE-GGA).

```
data_Li2Pu2Se3
_chemical_formula_sum 'Li4 Pu4 Se6'
_cell_length_a 5.721
_cell_length_b 6.723
_cell_length_c 8.295
_cell_angle_alpha 90.00
_cell_angle_beta 98.50
_cell_angle_gamma 90.00
_symmetry_space_group_name_H-M 'P 1 21/c 1'
_symmetry_Int_Tables_number 14
loop_
_symmetry_equiv_pos_as_xyz
'x,y,z'
'-x,-y,-z'
'-x,y+1/2,-z+1/2'
'x,-y+1/2,z+1/2'
loop_
_atom_site_label
_atom_site_type_symbol
_atom_site_fract_x
_atom_site_fract_y
_atom_site_fract_z
Li1 Li 0.140 0.202 0.067
Pu1 Pu 0.346 0.659 0.173
Se1 Se 0.164 0.004 0.342
Se2 Se 0.500 0.000 0.000
```

Computed properties:
E_tot ... -51.242 eV per formula unit
Theoretical density ... 7.8 Mg/m³

[9]
Entry from Alexandria: ZrZnRuPt after structural relaxation (PBE-GGA).

```
data_ZrZnRuPt
_chemical_formula_sum 'Zr4 Zn4 Ru4 Pt4'
_cell_length_a 6.371
_cell_length_b 6.371
_cell_length_c 6.371
_cell_angle_alpha 90.00
_cell_angle_beta 90.00
_cell_angle_gamma 90.00
_symmetry_space_group_name_H-M 'F -4 3 m'
_symmetry_Int_Tables_number 216
_symmetry_space_group_name_Hall 'F -4 2 3'
loop_
_atom_site_label
_atom_site_type_symbol
_atom_site_fract_x
_atom_site_fract_y
_atom_site_fract_z
Zr1 Zr 0.000 0.000 0.000
Zn1 Zn 0.000 0.000 0.500
Ru1 Ru 0.250 0.250 0.250
Pt1 Pt 0.250 0.250 0.750
```

Computed properties:
DFT formation energy ... -0.625 eV per atom
E_tot ... -27.640 eV per formula unit
Theoretical density ... 11.6 Mg/m³

[10]
Entry from Alexandria: NaTl4Cd after structural relaxation (PBE-GGA).

```
data_NaTl4Cd
_chemical_formula_sum 'Na4 Tl16 Cd4'
_cell_length_a 11.708
_cell_length_b 7.107
_cell_length_c 8.521
_cell_angle_alpha 90.00
_cell_angle_beta 104.21
_cell_angle_gamma 90.00
_symmetry_space_group_name_H-M 'C 1 2/m 1'
_symmetry_Int_Tables_number 12
loop_
_symmetry_equiv_pos_as_xyz
'x,y,z'
'-x,-y,-z'
'-x,y,-z'
'x,-y,z'
'x+1/2,y+1/2,z'
'-x+1/2,-y+1/2,-z'
'-x+1/2,y+1/2,-z'
'x+1/2,-y+1/2,z'
loop_
_atom_site_label
_atom_site_type_symbol
_atom_site_fract_x
_atom_site_fract_y
_atom_site_fract_z
Na1 Na 0.127 0.000 0.332
Tl1 Tl 0.000 0.260 0.000
Tl2 Tl 0.119 0.260 0.656
Tl3 Tl 0.246 0.000 0.000
Cd1 Cd 0.134 0.500 0.326
```

Computed properties:
Energy above the most stable polymorph in this dataset ... 0 meV/atom
DFT formation energy ... -0.038 eV per atom
E_tot ... -11.928 eV per formula unit
Theoretical density ... 9.2 Mg/m³

[11]
Entry from Alexandria: TaBeBr4 after structural relaxation (PBE-GGA).

```
data_TaBeBr4
_chemical_formula_sum 'Ta4 Be4 Br16'
_cell_length_a 8.576
_cell_length_b 8.576
_cell_length_c 8.576
_cell_angle_alpha 90.00
_cell_angle_beta 90.00
_cell_angle_gamma 90.00
_symmetry_space_group_name_H-M 'F -4 3 m'
_symmetry_Int_Tables_number 216
_symmetry_space_group_name_Hall 'F -4 2 3'
loop_
_atom_site_label
_atom_site_type_symbol
_atom_site_fract_x
_atom_site_fract_y
_atom_site_fract_z
Ta1 Ta 0.000 0.000 0.000
Be1 Be 0.250 0.250 0.750
Br1 Br 0.126 0.126 0.374
```

Computed properties:
E_tot ... -12.760 eV per formula unit
Theoretical density ... 5.4 Mg/m³

[12]
Entry from Alexandria: Mn7Cl6 after structural relaxation (PBE-GGA).

```
data_Mn7Cl6
_chemical_formula_sum 'Mn21 Cl18'
_cell_length_a 5.7948
_cell_length_b 5.7948
_cell_length_c 30.7829
_cell_angle_alpha 90.00
_cell_angle_beta 90.00
_cell_angle_gamma 120.00
_symmetry_space_group_name_H-M 'R -3 m'
_symmetry_Int_Tables_number 166
_symmetry_space_group_name_Hall '-R 3 2"'
loop_
_atom_site_label
_atom_site_type_symbol
_atom_site_fract_x
_atom_site_fract_y
_atom_site_fract_z
Mn1 Mn 0.0000 0.0000 0.0000
Mn2 Mn 0.0250 0.5125 0.5885
Cl1 Cl 0.0000 0.0000 0.1993
Cl2 Cl 0.0000 0.0000 0.3114
Cl3 Cl 0.0000 0.0000 0.4225
```

Computed properties:
E_tot ... -76.595 eV per formula unit
Theoretical density ... 3.3 Mg/m³

no.,magnetization (μB per cell)
1,0.0
2,0.0
3,0.0
4,0.0
5,0.0
6,0.0
7,0.0
8,24.0
9,0.0
10,0.0
11,10.9
12,93.0